# LiAg2MoO

Crystalline LiAg2MoO at its relaxed geometry (PBE with a Hubbard U, Alexandria via LeMat-Bulk).

- E (eV/atom) = -3.821
- V (Å³/f.u.) = 94
- size of the total moment (μB/atom) = 0.683
- density (Mg/m³) = 5.9

abc: 4.7330 4.7330 4.2149
angles: 90.00 90.00 90.00
Fractional coordinates of all 5 atoms:
Li (0.0000, 0.0000, 0.0000)
Ag (0.0000, 0.5000, 0.5000)
Ag (0.5000, 0.0000, 0.5000)
Mo (0.5000, 0.5000, 0.0000)
O (0.5000, 0.5000, 0.5000)